# TaAlF3

A relaxed structure of TaAlF3 (PBE-GGA, the Alexandria database).

The structure in CIF format:
```
data_TaAlF3
_cell_length_a 4.054
_cell_length_b 4.054
_cell_length_c 4.054
_cell_angle_alpha 90.00
_cell_angle_beta 90.00
_cell_angle_gamma 90.00
_space_group_name_H-M_alt 'P m -3 m'
_space_group_IT_number 221
_space_group_name_Hall '-P 4 2 3'
loop_
_atom_site_label
_atom_site_type_symbol
_atom_site_fract_x
_atom_site_fract_y
_atom_site_fract_z
Ta1 Ta 0.000 0.000 0.000
Al1 Al 0.500 0.500 0.500
F1 F 0.000 0.500 0.500
```

Results
theoretical density	6604	kg/m3
magnetization	0.005	μB/atom
E_form (uncorrected)	-365.9	kJ/mol of formula units